1.
# Hf3Ag4Ge2

A relaxed structure of Hf3Ag4Ge2 (PBE, OQMD).

Total DFT energy (no corrections) in eV per atom: -5.825

```
Hf3Ag4Ge2
1.0
6.847 0.000 0.000
-3.424 5.930 0.000
0.000 0.000 4.103
Hf Ge Ag
3 2 4
Direct
0.000 0.577 0.500
0.423 0.423 0.500
0.577 0.000 0.500
0.667 0.333 0.000
0.333 0.667 0.000
0.000 0.000 0.500
0.257 0.000 0.000
0.000 0.257 0.000
0.743 0.743 0.000
```



2.
# Zn2As

A relaxed structure of Zn2As (PBE, OQMD).

Total DFT energy (no corrections) in eV per atom: -2.261
Energy above the lowest structure with this stoichiometry in eV/atom: 0.066

```
Zn2As
1.0
-4.494 0.039 -1.455
-2.180 -5.828 6.580
-0.945 3.764 3.021
Zn As
8 4
Direct
0.512 0.486 0.000
0.582 0.833 0.000
0.005 0.333 0.000
0.512 0.180 0.000
0.321 0.986 0.500
0.321 0.680 0.500
0.251 0.333 0.500
0.828 0.833 0.500
0.095 0.981 0.000
0.095 0.685 0.000
0.739 0.481 0.500
0.739 0.185 0.500
```



3.
# MgCuReGe

A relaxed structure of MgCuReGe (PBE, OQMD).

Total DFT energy (no corrections) in eV per atom: -5.231
Energy above the lowest structure with this stoichiometry in eV/atom: 0.000

```
MgCuReGe
1.0
0.000 3.077 3.077
3.077 0.000 3.077
3.077 3.077 0.000
Mg Cu Re Ge
1 1 1 1
Direct
0.500 0.500 0.500
0.750 0.750 0.750
0.250 0.250 0.250
0.000 0.000 0.000
```



4.
# ZrZn2GaPt4

A relaxed structure of ZrZn2GaPt4 (PBE, OQMD).

Total DFT energy (no corrections) in eV per atom: -5.458

```
ZrZn2GaPt4
1.0
4.473 0.000 0.000
0.000 4.473 0.000
0.000 0.000 6.371
Pt Ga Zr Zn
4 1 1 2
Direct
0.500 0.000 0.266
0.500 0.000 0.734
0.000 0.500 0.266
0.000 0.500 0.734
0.000 0.000 0.500
0.500 0.500 0.000
0.000 0.000 0.000
0.500 0.500 0.500
```



5.
# Li2Mg2TlSnIr2

A relaxed structure of Li2Mg2TlSnIr2 (PBE, OQMD).

Total DFT energy (no corrections) in eV per atom: -4.207

```
Li2Mg2TlSnIr2
1.0
-0.981 -2.856 -3.422
4.456 -0.553 -0.816
0.136 -4.978 4.116
Ir Mg Tl Li Sn
2 2 1 2 1
Direct
0.000 0.500 0.736
0.500 0.000 0.264
0.000 0.000 0.000
0.500 0.500 0.500
0.500 0.500 0.000
0.000 0.500 0.249
0.500 0.000 0.751
0.000 0.000 0.500
```



6.
# NaGdMgTe3

A relaxed structure of NaGdMgTe3 (PBE, OQMD).

Total DFT energy (no corrections) in eV per atom: -3.936
Energy above the lowest structure with this stoichiometry in eV/atom: 0.011

```
NaGdMgTe3
1.0
-4.821 5.366 2.702
4.036 -6.380 1.531
9.224 6.626 3.297
Te Mg Gd Na
6 2 2 2
Direct
0.089 0.911 0.250
0.640 0.360 0.936
0.360 0.640 0.436
0.911 0.089 0.750
0.360 0.640 0.064
0.640 0.360 0.564
0.473 0.527 0.250
0.527 0.473 0.750
0.000 0.000 0.500
0.000 0.000 0.000
0.237 0.763 0.750
0.763 0.237 0.250
```



7.
# TaPPbO

A relaxed structure of TaPPbO (PBE, OQMD).

Total DFT energy (no corrections) in eV per atom: -6.769
Energy above the lowest structure with this stoichiometry in eV/atom: 0.617

```
TaPPbO
1.0
4.088 0.000 0.000
0.000 4.088 0.000
0.000 0.000 8.719
Ta O Pb P
2 2 2 2
Direct
0.500 0.500 0.915
0.000 0.000 0.085
0.500 0.000 0.000
0.000 0.500 0.000
0.500 0.000 0.500
0.000 0.500 0.500
0.000 0.000 0.783
0.500 0.500 0.217
```



8.
# Hf2BeRe

A relaxed structure of Hf2BeRe (PBE, OQMD).

Total DFT energy (no corrections) in eV per atom: -8.860

```
Hf2BeRe
1.0
-0.052 -2.609 3.692
0.184 1.887 4.104
-3.642 -0.054 2.679
Hf Be Re
2 1 1
Direct
0.000 0.000 0.000
0.750 0.750 0.750
0.500 0.500 0.500
0.250 0.250 0.250
```



9.
# SrFeAs2Ir

A relaxed structure of SrFeAs2Ir (PBE, OQMD).

Total DFT energy (no corrections) in eV per atom: -6.206

```
SrFeAs2Ir
1.0
-2.019 2.019 5.979
2.019 -2.019 5.979
2.019 2.019 -5.979
Ir Fe Sr As
1 1 1 2
Direct
0.500 0.500 0.000
0.000 0.000 0.000
0.250 0.750 0.500
0.610 0.110 0.500
0.890 0.390 0.500
```



10.
# DyTmMg2Au4

A relaxed structure of DyTmMg2Au4 (PBE, OQMD).

Total DFT energy (no corrections) in eV per atom: -3.941

```
DyTmMg2Au4
1.0
4.851 0.000 0.000
0.000 4.851 0.000
0.000 0.000 6.860
Mg Dy Au Tm
2 1 4 1
Direct
0.000 0.000 0.500
0.500 0.500 0.000
0.000 0.000 0.000
0.500 0.000 0.746
0.500 0.000 0.254
0.000 0.500 0.254
0.000 0.500 0.746
0.500 0.500 0.500
```



11.
# BeInCuTc

A relaxed structure of BeInCuTc (PBE, OQMD).

Total DFT energy (no corrections) in eV per atom: -4.819
Energy above the lowest structure with this stoichiometry in eV/atom: 0.000

```
BeInCuTc
1.0
0.000 3.025 3.025
3.025 0.000 3.025
3.025 3.025 0.000
In Be Cu Tc
1 1 1 1
Direct
0.000 0.000 0.000
0.750 0.750 0.750
0.250 0.250 0.250
0.500 0.500 0.500
```



12.
# TbInFeTe3

A relaxed structure of TbInFeTe3 (PBE, OQMD).

Total DFT energy (no corrections) in eV per atom: -4.756

```
TbInFeTe3
1.0
4.269 0.000 0.000
0.000 11.261 0.000
-2.135 0.000 7.740
Te Tb Fe In
6 2 2 2
Direct
0.921 0.000 0.841
0.365 0.679 0.731
0.079 0.500 0.159
0.635 0.179 0.269
0.635 0.821 0.269
0.365 0.321 0.731
0.000 0.250 0.000
0.000 0.750 0.000
0.526 0.000 0.052
0.474 0.500 0.948
0.755 0.500 0.510
0.245 0.000 0.490
```



13.
# CsMg2Zn2P3

A relaxed structure of CsMg2Zn2P3 (PBE, OQMD).

Total DFT energy (no corrections) in eV per atom: -3.348
Energy above the lowest structure with this stoichiometry in eV/atom: 0.000

```
CsMg2Zn2P3
1.0
4.119 0.000 0.000
0.000 4.334 0.000
0.000 0.000 10.539
P Mg Zn Cs
3 2 2 1
Direct
0.500 0.500 0.225
0.000 0.000 0.500
0.500 0.500 0.775
0.500 0.000 0.652
0.500 0.000 0.348
0.000 0.500 0.346
0.000 0.500 0.654
0.000 0.000 0.000
```



14.
# NaTcSn

A relaxed structure of NaTcSn (PBE, OQMD).

Total DFT energy (no corrections) in eV per atom: -3.983
Energy above the lowest structure with this stoichiometry in eV/atom: 0.491

```
NaTcSn
1.0
2.908 -3.595 0.325
-1.388 -4.228 -1.295
1.732 -1.934 -3.840
Sn Na Tc
1 1 1
Direct
0.250 0.250 0.250
0.000 0.000 0.000
0.750 0.750 0.750
```



15.
# DyTm2Lu3Bi2Os

A relaxed structure of DyTm2Lu3Bi2Os (PBE, OQMD).

Total DFT energy (no corrections) in eV per atom: -5.734

```
DyTm2Lu3Bi2Os
1.0
-3.235 -0.331 2.688
-1.525 -7.525 -2.761
5.102 1.087 6.274
Lu Dy Tm Bi Os
3 1 2 2 1
Direct
0.500 0.000 0.231
0.500 0.767 0.767
0.500 0.231 0.000
0.000 0.386 0.386
0.000 0.618 0.001
0.000 0.001 0.618
0.500 0.333 0.668
0.500 0.668 0.333
0.000 0.996 0.996
```



16.
# TbAgPbS3

A relaxed structure of TbAgPbS3 (PBE, OQMD).

Total DFT energy (no corrections) in eV per atom: -4.947
Energy above the lowest structure with this stoichiometry in eV/atom: 0.022

```
TbAgPbS3
1.0
-2.324 -5.336 -4.764
3.395 -2.061 0.652
-3.310 -2.656 8.843
Tb S Ag Pb
2 6 2 2
Direct
0.201 0.250 0.153
0.799 0.750 0.847
0.547 0.250 0.831
0.799 0.750 0.551
0.201 0.250 0.449
0.453 0.750 0.169
0.065 0.250 0.864
0.935 0.750 0.136
0.606 0.250 0.590
0.394 0.750 0.410
0.220 0.750 0.696
0.780 0.250 0.304
```



17.
# Y2CoReSi2C

A relaxed structure of Y2CoReSi2C (PBE, OQMD).

Total DFT energy (no corrections) in eV per atom: -8.152

```
Y2CoReSi2C
1.0
-2.307 1.549 -5.059
-5.165 1.227 -2.266
3.641 4.015 4.188
Y C Re Si Co
2 1 1 2 1
Direct
0.565 0.565 0.296
0.437 0.437 0.704
0.007 0.007 0.002
0.798 0.798 0.903
0.840 0.840 0.298
0.146 0.146 0.700
0.207 0.207 0.097
```



18.
# CsTeIrO

A relaxed structure of CsTeIrO (PBE, OQMD).

Total DFT energy (no corrections) in eV per atom: -3.888
Energy above the lowest structure with this stoichiometry in eV/atom: 1.085

```
CsTeIrO
1.0
-3.344 0.214 -2.951
-2.830 -1.534 3.094
-1.899 9.186 2.818
Cs O Ir Te
2 2 2 2
Direct
0.500 0.000 0.500
0.000 0.500 0.500
0.500 0.000 0.000
0.000 0.500 0.000
0.000 0.000 0.040
0.500 0.500 0.960
0.000 0.000 0.780
0.500 0.500 0.220
```



19.
# CsReSb

A relaxed structure of CsReSb (PBE, OQMD).

Total DFT energy (no corrections) in eV per atom: -4.305
Energy above the lowest structure with this stoichiometry in eV/atom: 0.000

```
CsReSb
1.0
0.000 3.467 3.467
3.467 0.000 3.467
3.467 3.467 0.000
Cs Re Sb
1 1 1
Direct
0.250 0.250 0.250
0.000 0.000 0.000
0.750 0.750 0.750
```



20.
# Pm6ReO12

A relaxed structure of Pm6ReO12 (PBE, OQMD).

Total DFT energy (no corrections) in eV per atom: -8.338

```
Pm6ReO12
1.0
5.018 2.897 3.201
-5.018 2.897 3.201
0.000 -5.794 3.201
O Pm Re
12 6 1
Direct
0.439 0.591 0.178
0.069 0.967 0.290
0.591 0.178 0.439
0.290 0.069 0.967
0.178 0.439 0.591
0.033 0.710 0.931
0.967 0.290 0.069
0.409 0.822 0.561
0.710 0.931 0.033
0.561 0.409 0.822
0.822 0.561 0.409
0.931 0.033 0.710
0.856 0.389 0.691
0.144 0.611 0.309
0.611 0.309 0.144
0.309 0.144 0.611
0.691 0.856 0.389
0.389 0.691 0.856
0.000 0.000 0.000
```